Compound: PrDy2MoO8
Source: Alexandria via LeMat-Bulk
Functional: GGA+U
Structure: relaxed

Properties
N(E_F) in states/eV per cell: 4.7
Total magnetization in μB per formula unit: 0.943
DFT total energy in eV/atom: -7.6973

```
PrDy2MoO8
1.0
-3.3563 3.7820 -0.2831
-3.4818 -3.2611 -1.7003
-2.0035 -1.2862 6.5692
O Pr Dy Mo
8 1 2 1
Direct
0.1844 0.8148 0.7960
0.3203 0.3187 0.5000
0.6797 0.6813 0.5000
0.1843 0.8147 0.2040
0.8157 0.1853 0.7960
0.2759 0.2750 0.0000
0.8156 0.1852 0.2040
0.7241 0.7250 0.0000
0.0000 0.0000 0.5000
0.5000 0.5000 0.7591
0.5000 0.5000 0.2409
0.0000 0.0000 0.0000
```